(1)
Computed, not measured: crystalline MoBrN3 at its relaxed geometry at the PBE level of DFT.

Properties
N(E_F) = 0.916 states/eV/atom
energy relative to the elements, uncorrected = 6.2 eV per formula unit
electronic total energy = -6.26 eV per atom

Lattice parameters (Å, degrees): 4.019 4.019 4.019 90.00 90.00 90.00
Fractional positions:
N 0.000 0.000 0.500
N 0.000 0.500 0.000
N 0.500 0.000 0.000
Mo 0.000 0.000 0.000
Br 0.500 0.500 0.500



(2)
Computed, not measured: crystalline Ni2MoBrN at its relaxed geometry at the PBE level of DFT.

Properties
N(E_F) = 0.744 states/eV/atom
energy relative to the elements, uncorrected = 9.6 eV per formula unit
electronic total energy = -4.55 eV per atom

Lattice parameters (Å, degrees): 4.268 4.305 4.268 90.00 90.00 90.00
Each line ends with the local moment (μB).
Fractional positions:
Ni 0.000 0.000 0.500  0.06
Ni 0.500 0.000 0.000  0.02
N 0.000 0.500 0.000  -0.29
Br 0.000 0.000 0.000  0.01
Mo 0.500 0.500 0.500  2.86



What is the N(E_F) in the first record?
0.916 states/eV/atom



Which formula does entry 2 have?
Ni2MoBrN



Among the records above, which one has the lowest N(E_F)?
Ni2MoBrN



What is the formula in the first record?
MoBrN3